! PrPuSc | OQMD via LeMat-Bulk | GGA-PBE | optimized geometry; values from VASP
&SYSTEM
  ibrav = 0, nat = 3, ntyp = 3
/
ATOMIC_SPECIES
Pr 140.91 Pr.upf
Sc 44.96 Sc.upf
Pu 244.00 Pu.upf
ATOMIC_POSITIONS crystal
Pr 0.250 0.250 0.250
Sc 0.000 0.000 0.000
Pu 0.750 0.750 0.750
CELL_PARAMETERS angstrom
0.000 3.718 3.718
3.718 0.000 3.718
3.718 3.718 0.000
! ΔH_f (0 K) = 0.75 eV per atom
! symmetry = F-43m, No. 216
! electronic total energy = -22.97 eV per cell